Material: Ta2FeRu
Method: DFT, PBEsol
State: relaxed

Properties
Formation energy from the elements, eV per formula unit: -0.98
Spin magnetization, μB per formula unit: 1.34

abc: 3.058 3.058 6.283
angles: 90.00 90.00 90.00
Space group P4/mmm (No. 123)
Symmetry-distinct sites (fractional):
Ta: 0.000 0.000 0.238 [2 per cell]
Fe: 0.500 0.500 0.000 [1 per cell]
Ru: 0.500 0.500 0.500 [1 per cell]